Record 1
A plane-wave DFT calculation with GGA-PBE was carried out for crystalline ZnPd9 at its relaxed geometry.

Computed properties:
raw total energy: -4.744 eV per atom
symmetry: P2_1/m, No. 11
formation energy: 0.93 kcal/mol of atoms
calculated density: 7.21 Mg/m³

```
ZnPd9
1.0
4.8305 0.0000 0.0000
0.0000 2.7768 0.0000
-0.0755 0.0000 35.1369
Pd Zn
18 2
Direct
0.0831 0.7500 0.4348
0.4206 0.7500 0.7621
0.9124 0.2500 0.7617
0.7518 0.7500 0.6955
0.0839 0.7500 0.6304
0.7501 0.7500 0.5000
0.9161 0.2500 0.3696
0.5834 0.2500 0.6301
0.0876 0.7500 0.2383
0.2499 0.2500 0.5000
0.5833 0.2500 0.4348
0.2523 0.2500 0.6957
0.2482 0.2500 0.3045
0.9169 0.2500 0.5652
0.7477 0.7500 0.3043
0.4167 0.7500 0.5652
0.5794 0.2500 0.2379
0.4166 0.7500 0.3699
0.9197 0.2500 0.1825
0.0803 0.7500 0.8175
```

***

Record 2
A plane-wave DFT calculation with GGA-PBE was carried out for crystalline BaAgTeO at its relaxed geometry.

Computed properties:
raw total energy: -4.186 eV per atom
symmetry: P2_12_12_1, No. 19
calculated density: 5.71 Mg/m³

```
BaAgTeO
1.0
8.0774 0.0000 0.0000
0.0000 7.9370 0.0000
0.0000 0.0000 7.0492
O Ba Ag Te
4 4 4 4
Direct
0.8632 0.9240 0.6650
0.1368 0.4240 0.8350
0.3632 0.5760 0.3350
0.6368 0.0760 0.1650
0.2773 0.6502 0.0163
0.7227 0.1502 0.4837
0.2227 0.3498 0.5163
0.7773 0.8498 0.9837
0.8772 0.7129 0.4832
0.6228 0.2871 0.9832
0.3772 0.7871 0.5168
0.1228 0.2129 0.0168
0.1105 0.9644 0.3004
0.3895 0.0356 0.8004
0.8895 0.4644 0.1996
0.6105 0.5356 0.6996
```

***

Record 3
A plane-wave DFT calculation with GGA-PBE was carried out for crystalline NbZnAu at its relaxed geometry.

Computed properties:
raw total energy: -4.474 eV per atom
symmetry: F-43m, No. 216
formation energy: 9.26 kcal/mol of atoms
calculated density: 9.76 Mg/m³

```
NbZnAu
1.0
4.2683 -0.7835 0.7537
1.1944 -3.2105 2.7688
1.8745 -3.6683 -1.5588
Zn Au Nb
1 1 1
Direct
0.7500 0.7500 0.7500
0.2500 0.2500 0.2500
0.0000 0.0000 0.0000
```

***

Record 4
A plane-wave DFT calculation with GGA-PBE was carried out for crystalline LiOsNO at its relaxed geometry.

Computed properties:
raw total energy: -7.072 eV per atom
symmetry: Pmc2_1, No. 26
calculated density: 8.36 Mg/m³

```
LiOsNO
1.0
-1.8231 2.6658 0.0763
-4.0754 -2.8211 1.1873
1.1250 0.6169 5.3273
Os Li N O
2 2 2 2
Direct
0.5000 0.4820 0.9023
0.5000 0.9820 0.0977
0.0000 0.5096 0.3782
0.0000 0.0096 0.6219
0.0000 0.9057 0.2566
0.0000 0.4057 0.7434
0.5000 0.8568 0.7559
0.5000 0.3568 0.2441
```

***

Record 5
A plane-wave DFT calculation with GGA-PBE was carried out for crystalline Ho2ErSn3Pd3 at its relaxed geometry.

Computed properties:
raw total energy: -5.518 eV per atom
symmetry: Amm2, No. 38
calculated density: 10.01 Mg/m³

```
Ho2ErSn3Pd3
1.0
-1.9388 1.0954 3.1521
4.5822 -4.3066 4.3152
1.8215 7.2710 -1.4064
Pd Sn Er Ho
3 3 1 2
Direct
0.5000 0.6658 0.3336
0.0000 0.0006 0.0006
0.5000 0.3336 0.6658
0.5000 0.0001 0.2635
0.5000 0.2635 0.0001
0.5000 0.7367 0.7367
0.0000 0.4017 0.4017
0.0000 0.5981 0.0000
0.0000 0.0000 0.5981
```

***

Record 6
A plane-wave DFT calculation with GGA-PBE was carried out for crystalline GdFe3 at its relaxed geometry.

Computed properties:
raw total energy: -7.044 eV per atom
symmetry: I4/mmm, No. 139
formation energy: 8.11 kcal/mol of atoms
calculated density: 8.70 Mg/m³

```
GdFe3
1.0
-1.9066 1.9066 4.2625
1.9066 -1.9066 4.2625
1.9066 1.9066 -4.2625
Fe Gd
3 1
Direct
0.7500 0.2500 0.5000
0.2500 0.7500 0.5000
0.5000 0.5000 0.0000
0.0000 0.0000 0.0000
```

***

Record 7
A plane-wave DFT calculation with GGA-PBE was carried out for crystalline ZrSi2Tc2 at its relaxed geometry.

Computed properties:
raw total energy: -8.537 eV per atom
symmetry: I4/mmm, No. 139
calculated density: 7.03 Mg/m³

```
ZrSi2Tc2
1.0
5.2137 0.2805 -2.4049
2.6517 5.0587 -0.6502
-2.7326 -2.9688 4.0944
Tc Zr Si
2 1 2
Direct
0.7500 0.2500 0.5000
0.2500 0.7500 0.5000
0.0000 0.0000 0.0000
0.6175 0.6175 0.0000
0.3825 0.3825 0.0000
```

***

Record 8
A plane-wave DFT calculation with GGA-PBE was carried out for crystalline RbTmNbTe3 at its relaxed geometry.

Computed properties:
raw total energy: -4.956 eV per atom
symmetry: Cmcm, No. 63
calculated density: 5.87 Mg/m³

```
RbTmNbTe3
1.0
2.1593 -8.4608 0.0000
2.1593 8.4608 0.0000
0.0000 0.0000 11.3026
Tm Nb Rb Te
2 2 2 6
Direct
0.5000 0.5000 0.5000
0.5000 0.5000 0.0000
0.0322 0.9678 0.7500
0.9678 0.0322 0.2500
0.7514 0.2486 0.7500
0.2486 0.7514 0.2500
0.5712 0.4288 0.2500
0.4288 0.5712 0.7500
0.1241 0.8759 0.5505
0.8759 0.1241 0.4495
0.1241 0.8759 0.9495
0.8759 0.1241 0.0505
```

***

Record 9
A plane-wave DFT calculation with GGA-PBE was carried out for crystalline Tb4CdCo at its relaxed geometry.

Computed properties:
raw total energy: -4.667 eV per atom
symmetry: F-43m, No. 216
formation energy: -5.69 kcal/mol of atoms
calculated density: 8.81 Mg/m³

```
Tb4CdCo
1.0
0.0000 6.7260 6.7260
6.7260 0.0000 6.7260
6.7260 6.7260 0.0000
Co Tb Cd
4 16 4
Direct
0.1411 0.5766 0.1411
0.1411 0.1411 0.1411
0.1411 0.1411 0.5766
0.5766 0.1411 0.1411
0.9383 0.5617 0.9383
0.8116 0.1884 0.1884
0.9383 0.5617 0.5617
0.9383 0.9383 0.5617
0.5617 0.9383 0.5617
0.3467 0.3467 0.9599
0.3467 0.3467 0.3467
0.9599 0.3467 0.3467
0.8116 0.8116 0.1884
0.8116 0.1884 0.8116
0.1884 0.8116 0.8116
0.5617 0.5617 0.9383
0.1884 0.8116 0.1884
0.5617 0.9383 0.9383
0.3467 0.9599 0.3467
0.1884 0.1884 0.8116
0.5804 0.5804 0.2588
0.5804 0.5804 0.5804
0.5804 0.2588 0.5804
0.2588 0.5804 0.5804
```

***

Record 10
A plane-wave DFT calculation with GGA-PBE was carried out for crystalline ScInFeCo at its relaxed geometry.

Computed properties:
raw total energy: -6.182 eV per atom
symmetry: F-43m, No. 216
calculated density: 7.62 Mg/m³

```
ScInFeCo
1.0
0.0000 3.1048 3.1048
3.1048 0.0000 3.1048
3.1048 3.1048 0.0000
Sc Co In Fe
1 1 1 1
Direct
0.5000 0.5000 0.5000
0.7500 0.7500 0.7500
0.0000 0.0000 0.0000
0.2500 0.2500 0.2500
```

***

Record 11
A plane-wave DFT calculation with GGA-PBE was carried out for crystalline HfZr2NiAs4Pd3 at its relaxed geometry.

Computed properties:
raw total energy: -6.886 eV per atom
symmetry: Pm, No. 6
calculated density: 8.71 Mg/m³

```
HfZr2NiAs4Pd3
1.0
-2.9847 3.5811 -4.6803
0.5888 -2.8852 -2.5831
-6.7208 -3.1095 1.9411
Zr As Pd Ni Hf
2 4 3 1 1
Direct
0.0322 0.5000 0.1827
0.4616 0.0000 0.6895
0.7504 0.0000 0.1178
0.7501 0.5000 0.6308
0.2538 0.0000 0.3631
0.2336 0.5000 0.8874
0.1465 0.5000 0.5673
0.8469 0.0000 0.4436
0.6236 0.5000 0.9425
0.3661 0.0000 0.0605
0.5373 0.5000 0.3122
```

***

Record 12
A plane-wave DFT calculation with GGA-PBE was carried out for crystalline Na2Tl3Pt2Pb at its relaxed geometry.

Computed properties:
raw total energy: -3.393 eV per atom
symmetry: P1, No. 1
calculated density: 10.56 Mg/m³

```
Na2Tl3Pt2Pb
1.0
-0.0999 4.3319 0.1311
-4.9053 -2.3415 2.3732
3.6543 -0.1396 7.3964
Na Tl Pt Pb
2 3 2 1
Direct
0.5672 0.6324 0.7541
0.4311 0.3638 0.2476
0.1413 0.7803 0.0427
0.8572 0.2164 0.9554
0.8622 0.2269 0.5488
0.7150 0.9285 0.2529
0.2810 0.0636 0.7475
0.1450 0.7881 0.4509
```